# 1
In4OsRu after structural relaxation, computed with PBE.

The structure in POSCAR format:
```
In4OsRu
1.0
0.0000 3.9220 3.9220
3.9220 0.0000 3.9220
3.9220 3.9220 0.0000
In Os Ru
4 1 1
Direct
0.8752 0.3749 0.3749
0.3749 0.3749 0.8752
0.3749 0.8752 0.3749
0.3749 0.3749 0.3749
0.7500 0.7500 0.7500
0.0000 0.0000 0.0000
```

Space group: F-43m (216)
ΔH_f (0 K): 1.160 eV/atom

---

# 2
InOsRu2 after structural relaxation, computed with PBE.

The structure in POSCAR format:
```
InOsRu2
1.0
2.8363 0.0000 0.0000
0.0000 2.8363 0.0000
0.0000 0.0000 7.7267
In Os Ru
1 1 2
Direct
0.0000 0.0000 0.4975
0.5000 0.5000 0.7735
0.0000 0.0000 0.9992
0.5000 0.5000 0.2309
```

Space group: P4mm (99)
ΔH_f (0 K): 0.281 eV/atom

---

# 3
InOsRu2 after structural relaxation, computed with PBE.

The structure in POSCAR format:
```
InOsRu2
1.0
-3.3704 -2.7224 -1.2058
0.5920 -1.7047 2.1940
-3.0640 2.5653 2.7723
In Os Ru
1 1 2
Direct
0.0000 0.6287 0.4586
0.5000 0.6192 0.8111
0.0000 0.1220 0.9600
0.5000 0.1300 0.2703
```

Space group: Pm (6)
ΔH_f (0 K): 0.328 eV/atom

---

# 4
InOsRu after structural relaxation, computed with PBE.

The structure in POSCAR format:
```
InOsRu
1.0
-0.0304 1.7634 3.9078
1.4485 -2.2243 3.3669
3.6898 1.1137 1.8781
In Os Ru
1 1 1
Direct
0.0000 0.0000 0.0000
0.5000 0.5000 0.5000
0.7500 0.7500 0.7500
```

Space group: F-43m (216)
ΔH_f (0 K): 0.556 eV/atom

---

# 5
InOsRu2 after structural relaxation, computed with PBE.

The structure in POSCAR format:
```
InOsRu2
1.0
4.8505 0.0034 0.0114
4.0220 2.7113 0.0114
0.8605 0.2633 4.7381
In Os Ru
1 1 2
Direct
0.4986 0.4986 0.5149
0.2613 0.2613 0.2095
0.0007 0.0007 0.0211
0.7395 0.7395 0.7545
```

Space group: Cm (8)
ΔH_f (0 K): 0.296 eV/atom

---

# 6
InOsRu after structural relaxation, computed with PBE.

The structure in POSCAR format:
```
InOsRu
1.0
6.2629 0.0008 0.0000
4.9532 3.8326 0.0000
-5.6080 -1.9167 2.0247
In Os Ru
1 1 1
Direct
0.0009 0.0009 0.0000
0.3185 0.3185 0.0000
0.6806 0.6806 0.0000
```

Space group: I4mm (107)
ΔH_f (0 K): 0.177 eV/atom

---

Number 1: size of the total moment 1.7 μB/f.u.. Number 2: size of the total moment 0.0 μB/f.u.. Number 3: size of the total moment 0.0 μB/f.u.. Number 4: size of the total moment 0.0 μB/f.u.. Number 5: size of the total moment 0.0 μB/f.u.. Number 6: size of the total moment 0.0 μB/f.u..